# FeRu, relaxed, DFT PBE
# theoretical density	8.78	g cm⁻³
# D(E_F)	2.81	states/eV/f.u.
# total energy	-7.8886	eV per atom
# total magnetic moment	13.6	μB per cell
data_FeRu
_symmetry_space_group_name_H-M 'F m -3 m'
_symmetry_Int_Tables_number 225
_symmetry_space_group_name_Hall '-F 4 2 3'
_cell_length_a 4.9141
_cell_length_b 4.9141
_cell_length_c 4.9141
_cell_angle_alpha 90.00
_cell_angle_beta 90.00
_cell_angle_gamma 90.00
loop_
_atom_site_label
_atom_site_type_symbol
_atom_site_fract_x
_atom_site_fract_y
_atom_site_fract_z
_atom_site_occupancy
Fe1 Fe 0.0000 0.0000 0.0000 1
Ru1 Ru 0.0000 0.0000 0.5000 1